(1)
# GGA-PBE NbPb2F, relaxed
data_NbPb2F
_chemical_formula_sum 'Nb4 Pb8 F4'
_cell_length_a 7.2986
_cell_length_b 7.2986
_cell_length_c 6.5919
_cell_angle_alpha 90.00
_cell_angle_beta 90.00
_cell_angle_gamma 90.00
_symmetry_space_group_name_H-M 'I -4 2 d'
_symmetry_Int_Tables_number 122
_symmetry_space_group_name_Hall 'I -4 2bw'
loop_
_atom_site_label
_atom_site_fract_x
_atom_site_fract_y
_atom_site_fract_z
_atom_site_occupancy
Nb1 0.0000 0.0000 0.0000 1
Pb1 0.1961 0.2500 0.6250 1
F1 0.0000 0.0000 0.5000 1
# **Excess energy over the best structure of this formula in the dataset**: 0.0 meV per atom

(2)
# GGA-PBE RbPuBeO4, relaxed
data_RbPuBeO4
_chemical_formula_sum 'Rb4 Pu4 Be4 O16'
_cell_length_a 6.9213
_cell_length_b 10.1881
_cell_length_c 6.7572
_cell_angle_alpha 90.00
_cell_angle_beta 90.00
_cell_angle_gamma 90.00
_symmetry_space_group_name_H-M 'C m c m'
_symmetry_Int_Tables_number 63
_symmetry_space_group_name_Hall '-C 2c 2'
loop_
_atom_site_label
_atom_site_fract_x
_atom_site_fract_y
_atom_site_fract_z
_atom_site_occupancy
Rb1 0.0000 0.0000 0.0000 1
Pu1 0.0000 0.3413 0.2500 1
Be1 0.0000 0.3922 0.7500 1
O1 0.0000 0.3033 0.5445 1
O2 0.1802 0.4979 0.2500 1
# **Total DFT energy (no corrections)**: -217.0 eV/cell

(3)
# GGA-PBE Ce2Sm2S5, relaxed
data_Ce2Sm2S5
_chemical_formula_sum 'Ce8 Sm8 S20'
_cell_length_a 14.1610
_cell_length_b 7.6008
_cell_length_c 7.5980
_cell_angle_alpha 90.00
_cell_angle_beta 90.00
_cell_angle_gamma 90.00
_symmetry_space_group_name_H-M 'C m c e'
_symmetry_Int_Tables_number 64
_symmetry_space_group_name_Hall '-C 2ac 2'
loop_
_atom_site_label
_atom_site_fract_x
_atom_site_fract_y
_atom_site_fract_z
_atom_site_occupancy
Ce1 0.1985 0.0000 0.0000 1
Sm1 0.0000 0.1558 0.3415 1
S1 0.0000 0.0000 0.0000 1
S2 0.1365 0.1581 0.6521 1
# **Total DFT energy (no corrections)**: -237.6 eV/cell

(4)
# GGA-PBE Cs2MnSnCl6, relaxed
data_Cs2MnSnCl6
_chemical_formula_sum 'Cs8 Mn4 Sn4 Cl24'
_cell_length_a 10.7539
_cell_length_b 10.7539
_cell_length_c 10.7539
_cell_angle_alpha 90.00
_cell_angle_beta 90.00
_cell_angle_gamma 90.00
_symmetry_space_group_name_H-M 'F m -3 m'
_symmetry_Int_Tables_number 225
_symmetry_space_group_name_Hall '-F 4 2 3'
loop_
_atom_site_label
_atom_site_fract_x
_atom_site_fract_y
_atom_site_fract_z
_atom_site_occupancy
Cs1 0.2500 0.2500 0.2500 1
Mn1 0.0000 0.0000 0.0000 1
Sn1 0.0000 0.0000 0.5000 1
Cl1 0.0000 0.0000 0.2365 1
# **Total DFT energy (no corrections)**: -162.5 eV/cell

It is found that the size of the total moment values, taken in the order of the records, are 0.00, 3.00, 3.26, 5.00 μB/f.u..